Entry 1:
Computed, not measured: crystalline BeNbNO2 at its relaxed geometry at the PBE level of DFT.

crystal system: tetragonal
density of states at the Fermi level: 0.128 states/eV per atom
VASP energy: -7.430 eV/atom
formation energy (no corrections): -1.022 eV/atom

abc: 3.286 3.286 3.796
angles: 90.00 90.00 90.00
Fractional positions:
Be1 0.000 0.000 0.000
Nb1 0.500 0.500 0.500
N1 0.000 0.000 0.500
O1 0.000 0.500 0.000
O2 0.500 0.000 0.000

---

Entry 2:
Computed, not measured: crystalline BeNbNO2 at its relaxed geometry at the PBE level of DFT.

crystal system: tetragonal
density of states at the Fermi level: 0.153 states/eV per atom
VASP energy: -7.039 eV/atom
formation energy (no corrections): -0.631 eV/atom

abc: 3.899 3.899 4.211
angles: 90.00 90.00 90.00
Fractional positions:
Be1 0.000 0.000 0.000
Nb1 0.500 0.500 0.500
N1 0.500 0.500 0.000
O1 0.000 0.500 0.500
O2 0.500 0.000 0.500

---

Entry 3:
Computed, not measured: crystalline BeNbN2O at its relaxed geometry at the PBE level of DFT.

crystal system: tetragonal
density of states at the Fermi level: 0.839 states/eV per atom
VASP energy: -6.847 eV/atom
formation energy (no corrections): 0.234 eV/atom

abc: 4.075 4.075 3.915
angles: 90.00 90.00 90.00
Fractional positions:
Be1 0.000 0.000 0.000
Nb1 0.500 0.500 0.500
N1 0.000 0.500 0.500
N2 0.500 0.000 0.500
O1 0.500 0.500 0.000

---

- What is the VASP energy in the first record?
  -7.430 eV/atom